<1>
Entry from the Alexandria database: a relaxed structure of ZnCu2As (PBEsol).

Cell: 2.9501 3.5669 5.1476 Å, 90.00 90.00 90.00°
Fractional coordinates of all 4 atoms:
Zn: 0.0000 0.0000 0.0000
Cu: 0.0000 0.0000 0.5237
Cu: 0.5000 0.5000 0.7771
As: 0.5000 0.5000 0.2940

The value obtained for the magnetization is 0.00 μB/cell. Its space group is No. 25.

=====

<2>
Entry from the Alexandria database: a relaxed structure of ZnCu2As (PBEsol).

Cell: 2.7246 2.7246 7.4983 Å, 90.00 90.00 90.00°
Fractional coordinates of all 4 atoms:
Zn: 0.0000 0.0000 0.0000
Cu: 0.0000 0.0000 0.5648
Cu: 0.5000 0.5000 0.7830
As: 0.5000 0.5000 0.3187

The value obtained for the magnetization is 0.00 μB/cell. Its space group is No. 99.

=====

Most stable structure, least stable structure: <1>, <2>.

=====

<1>
Entry from the Alexandria database: a relaxed structure of GaAsF2 (PBEsol).

Cell: 5.4967 5.4967 5.4967 Å, 102.63 102.63 124.25°
Fractional coordinates of all 8 atoms:
Ga: 0.0000 0.0000 0.0000
Ga: 0.7500 0.2500 0.5000
As: 0.2500 0.7500 0.5000
As: 0.5000 0.5000 0.0000
F: 0.3750 0.2460 0.3710
F: 0.7540 0.1250 0.1290
F: 0.8750 0.0040 0.6290
F: 0.9960 0.6250 0.8710

The value obtained for the magnetization is 0.00 μB/cell. Its space group is No. 122.

=====

<2>
Entry from the Alexandria database: a relaxed structure of GaAsF2 (PBEsol).

Cell: 4.2758 4.2758 4.2758 Å, 60.00 60.00 60.00°
Fractional coordinates of all 4 atoms:
Ga: 0.0000 0.0000 0.0000
As: 0.5000 0.5000 0.5000
F: 0.2500 0.2500 0.2500
F: 0.7500 0.7500 0.7500

The value obtained for the magnetization is 0.13 μB/cell. Its space group is No. 225.

=====

Most stable structure, least stable structure: <1>, <2>.

=====

<1>
Entry from the Alexandria database: a relaxed structure of GeAs2F (PBEsol).

Cell: 6.3071 6.3071 6.3071 Å, 122.85 122.85 85.13°
Fractional coordinates of all 8 atoms:
Ge: 0.0000 0.0000 0.0000
Ge: 0.7500 0.2500 0.5000
As: 0.1411 0.6250 0.0161
As: 0.3750 0.3911 0.5161
As: 0.6089 0.1250 0.9839
As: 0.8750 0.8589 0.4839
F: 0.2500 0.7500 0.5000
F: 0.5000 0.5000 0.0000

The value obtained for the magnetization is 0.00 μB/cell. Its space group is No. 122.

=====

<2>
Entry from the Alexandria database: a relaxed structure of GeAs2F (PBEsol).

Cell: 4.4394 4.4394 4.4394 Å, 60.00 60.00 60.00°
Fractional coordinates of all 4 atoms:
Ge: 0.0000 0.0000 0.0000
As: 0.2500 0.2500 0.2500
As: 0.7500 0.7500 0.7500
F: 0.5000 0.5000 0.5000

The value obtained for the magnetization is 0.00 μB/cell. Its space group is No. 225.

=====

Most stable structure, least stable structure: <2>, <1>.

=====

<1>
Entry from the Alexandria database: a relaxed structure of AsIrF2 (PBEsol).

Cell: 5.6113 5.6113 5.6113 Å, 100.03 100.03 130.66°
Fractional coordinates of all 8 atoms:
As: 0.0000 0.0000 0.0000
As: 0.7500 0.2500 0.5000
Ir: 0.2500 0.7500 0.5000
Ir: 0.5000 0.5000 0.0000
F: 0.2280 0.1250 0.6030
F: 0.3750 0.7720 0.8970
F: 0.5220 0.6250 0.3970
F: 0.8750 0.4780 0.1030

The value obtained for the magnetization is 0.95 μB/cell. Its space group is No. 122.

=====

<2>
Entry from the Alexandria database: a relaxed structure of AsIrF2 (PBEsol).

Cell: 8.2343 8.2343 8.2343 Å, 18.93 18.93 18.93°
Fractional coordinates of all 4 atoms:
As: 0.0000 0.0000 0.0000
Ir: 0.5000 0.5000 0.5000
F: 0.4185 0.4185 0.4185
F: 0.5815 0.5815 0.5815

The value obtained for the magnetization is 0.00 μB/cell. Its space group is No. 166.

=====

Most stable structure, least stable structure: <2>, <1>.